Record 1
12
Lattice="5.426 0.000 0.000 0.000 9.365 0.000 0.000 0.000 6.778" Properties=species:S:1:pos:R:3 comment="DyHoEr2Sc2 | Alexandria via LeMat-Bulk | PBE | relaxed" space_group="Pnnm, No. 58" ef_kj_per_mol_atoms=7.2 n_ef_per_ev_cell=23.94 pbc="T T T"
Er 2.713 1.558 5.080
Dy 2.713 4.683 3.389
Ho 0.000 0.000 3.389
Er 0.000 3.124 1.691
Sc 0.000 3.118 5.082
Ho 2.713 4.683 0.000
Sc 2.713 7.801 5.085
Er 2.713 7.807 1.698
Er 0.000 6.241 5.087
Sc 2.713 1.564 1.693
Sc 0.000 6.247 1.696
Dy 0.000 0.000 0.000


Record 2
4
Lattice="6.094 -0.001 -0.004 5.025 3.447 -0.004 2.175 0.674 4.612" Properties=species:S:1:pos:R:3 comment="Y2ScTc | Alexandria via LeMat-Bulk | PBE | relaxed" polymorph_energy_ev_per_atom=0.1764 space_group="Immm, No. 71" ef_kj_per_mol_atoms=6.8 n_ef_per_ev_cell=6.01 pbc="T T T"
Y 10.706 3.318 0.205
Tc 3.323 1.030 1.151
Y 7.060 2.188 2.088
Sc 9.970 3.090 3.453


Record 3
11
Lattice="-5.365 2.556 -2.469 -3.923 -4.129 4.249 2.768 4.005 6.516" Properties=species:S:1:pos:R:3 comment="RePb2Cl8 | Alexandria via LeMat-Bulk | PBE | relaxed" formation_energy_uncorrected_ev_per_atom=-0.869 space_group="C2/m, No. 12" pbc="T T T"
Pb -1.809 -0.461 3.453
Cl -6.301 1.031 6.372
Cl -0.219 1.400 1.925
Cl -4.312 -2.267 2.850
Cl -2.142 0.995 5.685
Cl -4.378 1.436 2.611
Re 0.000 0.000 0.000
Cl 0.488 3.414 6.687
Cl -7.008 -0.983 1.609
Pb -4.711 2.892 4.844
Cl -2.208 4.698 5.446


Record 4
4
Lattice="-0.503 -4.773 2.703 4.609 -1.788 -2.301 1.825 1.304 2.643" Properties=species:S:1:pos:R:3 comment="In2AsBr | Alexandria via LeMat-Bulk | PBE | relaxed" polymorph_energy_ev_per_atom=0.1684 formation_energy_uncorrected_ev_per_atom=-0.116 space_group="Pmmm, No. 47" n_ef_per_ev_cell=1.36 pbc="T T T"
In 0.000 0.000 0.000
In 2.053 -3.281 0.201
Br 3.217 -0.242 0.171
As 0.661 -1.735 2.673


Record 5
8
Lattice="5.430 0.000 -0.001 0.000 5.430 -0.001 -2.716 -2.715 3.148" Properties=species:S:1:pos:R:3 comment="Na2PH5 | Alexandria via LeMat-Bulk | PBE | relaxed" energy_ev_per_atom=-3.040 space_group="I4mm, No. 107" pbc="T T T"
Na 2.715 -0.001 1.524
H -1.500 -1.500 3.110
H -1.501 1.499 3.110
Na -0.001 2.715 1.524
P 0.000 0.000 0.133
H 1.499 -1.501 3.110
H 2.714 2.714 1.856
H 1.499 1.499 3.109


Record 6
5
Lattice="-3.519 3.481 0.043 -1.655 -1.619 -4.376 -2.211 -2.256 1.671" Properties=species:S:1:pos:R:3 comment="IrRuSe2N | Alexandria via LeMat-Bulk | PBE | relaxed" polymorph_energy_ev_per_atom=0.0000 formation_energy_uncorrected_ev_per_atom=0.889 space_group="P4/mmm, No. 123" n_ef_per_ev_cell=4.16 pbc="T T T"
Ru 0.000 0.000 0.000
N -1.106 -1.128 0.835
Se -0.828 -0.809 -2.188
Ir -3.693 -0.197 -1.331
Se -1.760 1.741 0.022


Record 7
4
Lattice="-1.054 1.979 5.492 -4.464 -2.283 3.169 1.150 -3.467 4.674" Properties=species:S:1:pos:R:3 comment="Rb2CoCl | Alexandria via LeMat-Bulk | PBE | relaxed" polymorph_energy_ev_per_atom=0.0000 formation_energy_uncorrected_ev_per_atom=-0.114 space_group="Fm-3m, No. 225" n_ef_per_ev_cell=0.00 pbc="T T T"
Co -2.184 -1.885 6.667
Rb -3.276 -2.828 10.001
Cl 0.000 0.000 0.000
Rb -1.092 -0.943 3.334


Record 8
3
Lattice="2.914 0.000 0.000 0.000 2.914 0.000 -1.457 -1.457 5.139" Properties=species:S:1:pos:R:3 comment="HfAlH | Alexandria via LeMat-Bulk | PBE | relaxed" polymorph_energy_ev_per_atom=0.2785 space_group="I4mm, No. 107" n_ef_per_ev_cell=1.70 pbc="T T T"
Al 0.000 0.000 0.076
Hf 1.457 1.457 2.284
H 0.000 0.000 2.779


> Number 6 is which compound?

IrRuSe2N


Repeat the eighth record exactly.
3
Lattice="2.914 0.000 0.000 0.000 2.914 0.000 -1.457 -1.457 5.139" Properties=species:S:1:pos:R:3 comment="HfAlH | Alexandria via LeMat-Bulk | PBE | relaxed" polymorph_energy_ev_per_atom=0.2785 space_group="I4mm, No. 107" n_ef_per_ev_cell=1.70 pbc="T T T"
Al 0.000 0.000 0.076
Hf 1.457 1.457 2.284
H 0.000 0.000 2.779